ErFeC2 | meta-GGA SCAN | single point on PBEsol structure

## Properties
size of the total moment: 1.6 μB per cell
DFT formation energy: -0.31 eV/atom
space group: Amm2, No. 38

Unit cell a=3.506 b=3.676 c=3.676 alpha=75.27 beta=90.00 gamma=90.00
Positions (direct):
1 Er 0.000 0.000 0.000
2 Fe 0.500 0.608 0.608
3 C 0.500 0.137 0.451
4 C 0.500 0.451 0.137

---

Er2Fe17C3 | meta-GGA SCAN | single point on PBEsol structure

## Properties
size of the total moment: 38.0 μB per cell
DFT formation energy: -0.08 eV/atom
ΔE to the lowest computed polymorph: 4 meV per atom
space group: R-3m, No. 166

Unit cell a=6.349 b=6.349 c=6.349 alpha=83.08 beta=83.08 gamma=83.08
Positions (direct):
1 Er 0.157 0.157 0.157
2 Er 0.843 0.843 0.843
3 Fe 0.000 0.500 0.500
4 Fe 0.155 0.155 0.648
5 Fe 0.155 0.648 0.155
6 Fe 0.218 0.500 0.782
7 Fe 0.218 0.782 0.500
8 Fe 0.352 0.845 0.845
9 Fe 0.404 0.404 0.404
10 Fe 0.500 0.000 0.500
11 Fe 0.500 0.218 0.782
12 Fe 0.500 0.500 0.000
13 Fe 0.500 0.782 0.218
14 Fe 0.596 0.596 0.596
15 Fe 0.648 0.155 0.155
16 Fe 0.782 0.218 0.500
17 Fe 0.782 0.500 0.218
18 Fe 0.845 0.352 0.845
19 Fe 0.845 0.845 0.352
20 C 0.000 0.000 0.500
21 C 0.000 0.500 0.000
22 C 0.500 0.000 0.000

---

Er2Ga3Fe14C2 | meta-GGA SCAN | single point on PBEsol structure

## Properties
size of the total moment: 30.3 μB per cell
DFT formation energy: -0.15 eV/atom
space group: C2/m, No. 12

Unit cell a=6.344 b=6.344 c=6.395 alpha=96.83 beta=96.83 gamma=82.29
Positions (direct):
1 Er 0.153 0.153 0.338
2 Er 0.847 0.847 0.662
3 Ga 0.000 0.500 0.000
4 Ga 0.500 0.000 0.000
5 Ga 0.500 0.500 0.500
6 Fe 0.149 0.654 0.347
7 Fe 0.153 0.153 0.844
8 Fe 0.199 0.801 0.000
9 Fe 0.216 0.504 0.717
10 Fe 0.346 0.851 0.653
11 Fe 0.409 0.409 0.095
12 Fe 0.496 0.784 0.283
13 Fe 0.504 0.216 0.717
14 Fe 0.591 0.591 0.905
15 Fe 0.654 0.149 0.347
16 Fe 0.784 0.496 0.283
17 Fe 0.801 0.199 0.000
18 Fe 0.847 0.847 0.156
19 Fe 0.851 0.346 0.653
20 C 0.000 0.500 0.500
21 C 0.500 0.000 0.500

---

ErFe2SiC | meta-GGA SCAN | single point on PBEsol structure

## Properties
formation energy from raw total energies: -0.481 eV/atom
size of the total moment: 3.1 μB per cell
space group: Cmcm, No. 63

Unit cell a=5.458 b=5.458 c=6.614 alpha=90.00 beta=90.00 gamma=140.61
Positions (direct):
1 Er 0.050 0.950 0.750
2 Er 0.950 0.050 0.250
3 Fe 0.335 0.665 0.563
4 Fe 0.335 0.665 0.937
5 Fe 0.665 0.335 0.063
6 Fe 0.665 0.335 0.437
7 Si 0.230 0.770 0.250
8 Si 0.770 0.230 0.750
9 C 0.500 0.500 0.000
10 C 0.500 0.500 0.500

---

Er5Ge3C | meta-GGA SCAN | single point on PBEsol structure

## Properties
size of the total moment: 0.0 μB per cell
DFT formation energy: -0.84 eV/atom
space group: P6_3/mcm, No. 193

Unit cell a=8.323 b=8.323 c=6.266 alpha=90.00 beta=90.00 gamma=120.00
Positions (direct):
1 Er 0.000 0.222 0.250
2 Er 0.000 0.778 0.750
3 Er 0.222 0.000 0.250
4 Er 0.222 0.222 0.750
5 Er 0.333 0.667 0.000
6 Er 0.333 0.667 0.500
7 Er 0.667 0.333 0.000
8 Er 0.667 0.333 0.500
9 Er 0.778 0.000 0.750
10 Er 0.778 0.778 0.250
11 Ge 0.000 0.408 0.750
12 Ge 0.000 0.592 0.250
13 Ge 0.408 0.000 0.750
14 Ge 0.408 0.408 0.250
15 Ge 0.592 0.000 0.250
16 Ge 0.592 0.592 0.750
17 C 0.000 0.000 0.000
18 C 0.000 0.000 0.500

---

KErC2O6 | meta-GGA SCAN | single point on PBEsol structure

## Properties
formation energy from raw total energies: -2.346 eV/atom
size of the total moment: 0.0 μB per cell
space group: C2/c, No. 15

Unit cell a=6.295 b=6.295 c=6.849 alpha=102.77 beta=102.77 gamma=97.72
Positions (direct):
1 K 0.121 0.879 0.750
2 K 0.879 0.121 0.250
3 Er 0.409 0.591 0.250
4 Er 0.591 0.409 0.750
5 C 0.143 0.397 0.749
6 C 0.397 0.143 0.249
7 C 0.603 0.857 0.751
8 C 0.857 0.603 0.251
9 O 0.060 0.590 0.269
10 O 0.209 0.256 0.620
11 O 0.256 0.209 0.120
12 O 0.301 0.536 0.899
13 O 0.410 0.940 0.231
14 O 0.464 0.699 0.601
15 O 0.536 0.301 0.399
16 O 0.590 0.060 0.769
17 O 0.699 0.464 0.101
18 O 0.744 0.791 0.880
19 O 0.791 0.744 0.380
20 O 0.940 0.410 0.731

---

Er10Mn13C18 | meta-GGA SCAN | single point on PBEsol structure

## Properties
size of the total moment: 4.5 μB per cell
DFT formation energy: -0.41 eV/atom
space group: I-43m, No. 217

Unit cell a=8.563 b=8.563 c=8.563 alpha=109.47 beta=109.47 gamma=109.47
Positions (direct):
1 Er 0.000 0.000 0.589
2 Er 0.000 0.589 0.000
3 Er 0.250 0.500 0.750
4 Er 0.250 0.750 0.500
5 Er 0.411 0.411 0.411
6 Er 0.500 0.250 0.750
7 Er 0.500 0.750 0.250
8 Er 0.589 0.000 0.000
9 Er 0.750 0.250 0.500
10 Er 0.750 0.500 0.250
11 Mn 0.000 0.000 0.000
12 Mn 0.000 0.180 0.333
13 Mn 0.000 0.333 0.180
14 Mn 0.153 0.820 0.820
15 Mn 0.180 0.000 0.333
16 Mn 0.180 0.333 0.000
17 Mn 0.333 0.000 0.180
18 Mn 0.333 0.180 0.000
19 Mn 0.667 0.667 0.847
20 Mn 0.667 0.847 0.667
21 Mn 0.820 0.153 0.820
22 Mn 0.820 0.820 0.153
23 Mn 0.847 0.667 0.667
24 C 0.000 0.296 0.778
25 C 0.000 0.430 0.430
26 C 0.000 0.570 0.570
27 C 0.000 0.778 0.296
28 C 0.222 0.222 0.517
29 C 0.222 0.517 0.222
30 C 0.296 0.000 0.778
31 C 0.296 0.778 0.000
32 C 0.430 0.000 0.430
33 C 0.430 0.430 0.000
34 C 0.483 0.704 0.704
35 C 0.517 0.222 0.222
36 C 0.570 0.000 0.570
37 C 0.570 0.570 0.000
38 C 0.704 0.483 0.704
39 C 0.704 0.704 0.483
40 C 0.778 0.000 0.296
41 C 0.778 0.296 0.000

---

Er2CN2O2 | meta-GGA SCAN | single point on PBEsol structure

## Properties
formation energy from raw total energies: -2.471 eV/atom
size of the total moment: 0.0 μB per cell
space group: P-3m1, No. 164

Unit cell a=3.641 b=3.641 c=8.069 alpha=90.00 beta=90.00 gamma=120.00
Positions (direct):
1 Er 0.333 0.667 0.176
2 Er 0.667 0.333 0.824
3 C 0.000 0.000 0.500
4 N 0.000 0.000 0.347
5 N 0.000 0.000 0.653
6 O 0.333 0.667 0.898
7 O 0.667 0.333 0.102

---

Er2Si4CN6 | meta-GGA SCAN | single point on PBEsol structure

## Properties
formation energy from raw total energies: -1.463 eV/atom
size of the total moment: 0.0 μB per cell
space group: P2_1/c, No. 14

Unit cell a=5.881 b=9.880 c=11.798 alpha=90.00 beta=119.62 gamma=90.00
Positions (direct):
1 Er 0.154 0.088 0.417
2 Er 0.154 0.412 0.917
3 Er 0.172 0.069 0.906
4 Er 0.172 0.431 0.406
5 Er 0.828 0.569 0.594
6 Er 0.828 0.931 0.094
7 Er 0.846 0.588 0.083
8 Er 0.846 0.912 0.583
9 Si 0.180 0.226 0.659
10 Si 0.180 0.274 0.159
11 Si 0.296 0.703 0.823
12 Si 0.296 0.797 0.323
13 Si 0.335 0.713 0.579
14 Si 0.335 0.787 0.079
15 Si 0.498 0.522 0.251
16 Si 0.498 0.978 0.751
17 Si 0.502 0.022 0.249
18 Si 0.502 0.478 0.749
19 Si 0.665 0.213 0.921
20 Si 0.665 0.287 0.421
21 Si 0.704 0.203 0.677
22 Si 0.704 0.297 0.177
23 Si 0.820 0.726 0.841
24 Si 0.820 0.774 0.341
25 C 0.474 0.710 0.248
26 C 0.474 0.790 0.748
27 C 0.526 0.210 0.252
28 C 0.526 0.290 0.752
29 N 0.008 0.211 0.000
30 N 0.008 0.289 0.500
31 N 0.025 0.239 0.248
32 N 0.025 0.261 0.748
33 N 0.203 0.052 0.634
34 N 0.203 0.448 0.134
35 N 0.249 0.533 0.774
36 N 0.249 0.967 0.274
37 N 0.441 0.544 0.599
38 N 0.441 0.956 0.099
39 N 0.460 0.709 0.991
40 N 0.460 0.791 0.491
41 N 0.540 0.209 0.509
42 N 0.540 0.291 0.009
43 N 0.559 0.044 0.901
44 N 0.559 0.456 0.401
45 N 0.751 0.033 0.726
46 N 0.751 0.467 0.226
47 N 0.797 0.552 0.866
48 N 0.797 0.948 0.366
49 N 0.975 0.739 0.252
50 N 0.975 0.761 0.752
51 N 0.992 0.711 0.500
52 N 0.992 0.789 0.000

---

Na2ErPCO7 | meta-GGA SCAN | single point on PBEsol structure

## Properties
formation energy from raw total energies: -2.586 eV/atom
size of the total moment: 0.0 μB per cell
space group: P2_1/m, No. 11

Unit cell a=5.054 b=6.899 c=9.316 alpha=90.00 beta=90.84 gamma=90.00
Positions (direct):
1 Na 0.242 0.010 0.211
2 Na 0.242 0.490 0.211
3 Na 0.758 0.510 0.789
4 Na 0.758 0.990 0.789
5 Er 0.220 0.250 0.628
6 Er 0.780 0.750 0.372
7 P 0.303 0.750 0.583
8 P 0.697 0.250 0.417
9 C 0.260 0.250 0.917
10 C 0.740 0.750 0.083
11 O 0.030 0.250 0.851
12 O 0.190 0.566 0.653
13 O 0.190 0.934 0.653
14 O 0.230 0.750 0.419
15 O 0.290 0.250 0.051
16 O 0.389 0.250 0.405
17 O 0.462 0.250 0.828
18 O 0.538 0.750 0.172
19 O 0.611 0.750 0.595
20 O 0.710 0.750 0.949
21 O 0.770 0.250 0.581
22 O 0.810 0.066 0.347
23 O 0.810 0.434 0.347
24 O 0.970 0.750 0.149

---

ErCO4 | meta-GGA SCAN | single point on PBEsol structure

## Properties
formation energy from raw total energies: -2.256 eV/atom
size of the total moment: 4.0 μB per cell
ΔE to the lowest computed polymorph: 64 meV per atom
space group: P2_12_12_1, No. 19

Unit cell a=4.703 b=7.062 c=8.720 alpha=90.00 beta=90.00 gamma=90.00
Positions (direct):
1 Er 0.035 0.142 0.169
2 Er 0.465 0.858 0.669
3 Er 0.535 0.358 0.831
4 Er 0.965 0.642 0.331
5 C 0.017 0.036 0.839
6 C 0.483 0.964 0.339
7 C 0.517 0.464 0.161
8 C 0.983 0.536 0.661
9 O 0.027 0.834 0.142
10 O 0.047 0.426 0.771
11 O 0.166 0.620 0.574
12 O 0.214 0.937 0.370
13 O 0.286 0.063 0.870
14 O 0.334 0.380 0.074
15 O 0.453 0.574 0.271
16 O 0.473 0.166 0.642
17 O 0.527 0.666 0.858
18 O 0.547 0.074 0.229
19 O 0.666 0.880 0.426
20 O 0.714 0.563 0.630
21 O 0.786 0.437 0.130
22 O 0.834 0.120 0.926
23 O 0.953 0.926 0.729
24 O 0.973 0.334 0.358

---

ErCO4 | meta-GGA SCAN | single point on PBEsol structure

## Properties
formation energy from raw total energies: -2.320 eV/atom
size of the total moment: 18.2 μB per cell
ΔE to the lowest computed polymorph: 0 meV per atom
space group: P-6, No. 174

Unit cell a=11.700 b=11.700 c=9.546 alpha=90.00 beta=90.00 gamma=120.00
Positions (direct):
1 Er 0.216 0.437 0.246
2 Er 0.216 0.437 0.754
3 Er 0.221 0.784 0.246
4 Er 0.221 0.784 0.754
5 Er 0.228 0.116 0.244
6 Er 0.228 0.116 0.756
7 Er 0.551 0.446 0.259
8 Er 0.551 0.446 0.741
9 Er 0.554 0.105 0.259
10 Er 0.554 0.105 0.741
11 Er 0.563 0.779 0.246
12 Er 0.563 0.779 0.754
13 Er 0.884 0.112 0.244
14 Er 0.884 0.112 0.756
15 Er 0.888 0.772 0.244
16 Er 0.888 0.772 0.756
17 Er 0.895 0.449 0.259
18 Er 0.895 0.449 0.741
19 C 0.023 0.195 0.500
20 C 0.093 0.207 0.000
21 C 0.114 0.907 0.000
22 C 0.128 0.555 0.000
23 C 0.137 0.498 0.500
24 C 0.171 0.977 0.500
25 C 0.361 0.863 0.500
26 C 0.427 0.872 0.000
27 C 0.445 0.573 0.000
28 C 0.461 0.240 0.500
29 C 0.468 0.311 0.000
30 C 0.502 0.639 0.500
31 C 0.689 0.157 0.000
32 C 0.760 0.221 0.500
33 C 0.779 0.539 0.500
34 C 0.793 0.886 0.000
35 C 0.805 0.829 0.500
36 C 0.843 0.532 0.000
37 O 0.000 0.000 0.248
38 O 0.000 0.000 0.752
39 O 0.004 0.670 0.305
40 O 0.004 0.670 0.695
41 O 0.076 0.245 0.381
42 O 0.076 0.245 0.619
43 O 0.084 0.843 0.117
44 O 0.084 0.843 0.883
45 O 0.085 0.499 0.382
46 O 0.085 0.499 0.618
47 O 0.099 0.590 0.117
48 O 0.099 0.590 0.883
49 O 0.157 0.240 0.117
50 O 0.157 0.240 0.883
51 O 0.169 0.924 0.381
52 O 0.169 0.924 0.619
53 O 0.175 0.033 0.000
54 O 0.182 0.092 0.500
55 O 0.185 0.486 0.000
56 O 0.243 0.491 0.500
57 O 0.248 0.757 0.500
58 O 0.301 0.815 0.000
59 O 0.330 0.334 0.305
60 O 0.330 0.334 0.695
61 O 0.333 0.667 0.254
62 O 0.333 0.667 0.746
63 O 0.338 0.006 0.193
64 O 0.338 0.006 0.807
65 O 0.410 0.510 0.117
66 O 0.410 0.510 0.883
67 O 0.414 0.915 0.382
68 O 0.414 0.915 0.618
69 O 0.417 0.257 0.118
70 O 0.417 0.257 0.882
71 O 0.430 0.177 0.382
72 O 0.430 0.177 0.618
73 O 0.490 0.901 0.117
74 O 0.490 0.901 0.883
75 O 0.501 0.586 0.382
76 O 0.501 0.586 0.618
77 O 0.509 0.752 0.500
78 O 0.514 0.699 0.000
79 O 0.523 0.366 0.500
80 O 0.574 0.425 0.000
81 O 0.575 0.148 0.000
82 O 0.634 0.157 0.500
83 O 0.666 0.996 0.305
84 O 0.666 0.996 0.695
85 O 0.667 0.333 0.248
86 O 0.667 0.333 0.752
87 O 0.668 0.662 0.193
88 O 0.668 0.662 0.807
89 O 0.743 0.159 0.118
90 O 0.743 0.159 0.882
91 O 0.747 0.570 0.382
92 O 0.747 0.570 0.618
93 O 0.755 0.831 0.381
94 O 0.755 0.831 0.619
95 O 0.760 0.916 0.117
96 O 0.760 0.916 0.883
97 O 0.823 0.253 0.382
98 O 0.823 0.253 0.618
99 O 0.841 0.583 0.118
100 O 0.841 0.583 0.882
101 O 0.843 0.477 0.500
102 O 0.852 0.426 0.000
103 O 0.858 0.825 0.000
104 O 0.908 0.090 0.500
105 O 0.910 0.818 0.500
106 O 0.967 0.142 0.000
107 O 0.994 0.332 0.193
108 O 0.994 0.332 0.807